Below is a geometry-optimized ScFeSiAg structure, with properties calculated at the PBE level.

Values from the calculation:
Calculated density, g cm⁻³: 6.19
Size of the total moment, Bohr magnetons per cell: 2.44
E above lowest polymorph, kJ/mol of atoms: 0.0
V, Å³ per cell: 63.5
Final energy, eV/f.u.: -23.3

a b c (Å): 4.479 4.479 4.479
angles (deg): 60.00 60.00 60.00
Fractional positions:
Sc (0.000, 0.000, 0.000)
Fe (0.500, 0.500, 0.500)
Si (0.250, 0.250, 0.250)
Ag (0.750, 0.750, 0.750)



Below is a geometry-optimized ScFeSiAg structure, with properties calculated at the PBE level.

Values from the calculation:
Calculated density, g cm⁻³: 6.45
Size of the total moment, Bohr magnetons per cell: 1.59
E above lowest polymorph, kJ/mol of atoms: 2.1
V, Å³ per cell: 61.0
Final energy, eV/f.u.: -23.2

a b c (Å): 4.418 4.418 4.418
angles (deg): 60.00 60.00 60.00
Fractional positions:
Sc (0.000, 0.000, 0.000)
Fe (0.750, 0.750, 0.750)
Si (0.500, 0.500, 0.500)
Ag (0.250, 0.250, 0.250)



Below is a geometry-optimized ScTlFeAg structure, with properties calculated at the PBE level.

Values from the calculation:
Calculated density, g cm⁻³: 9.25
Size of the total moment, Bohr magnetons per cell: 1.90
E above lowest polymorph, kJ/mol of atoms: 0.9
V, Å³ per cell: 74.1
Final energy, eV/f.u.: -19.3

a b c (Å): 4.715 4.715 4.715
angles (deg): 60.00 60.00 60.00
Fractional positions:
Sc (0.000, 0.000, 0.000)
Tl (0.500, 0.500, 0.500)
Fe (0.750, 0.750, 0.750)
Ag (0.250, 0.250, 0.250)



Below is a geometry-optimized ScTlFeAg structure, with properties calculated at the PBE level.

Values from the calculation:
Calculated density, g cm⁻³: 9.11
Size of the total moment, Bohr magnetons per cell: 2.54
E above lowest polymorph, kJ/mol of atoms: 0.0
V, Å³ per cell: 75.3
Final energy, eV/f.u.: -19.4

a b c (Å): 4.739 4.739 4.739
angles (deg): 60.00 60.00 60.00
Fractional positions:
Sc (0.000, 0.000, 0.000)
Tl (0.250, 0.250, 0.250)
Fe (0.500, 0.500, 0.500)
Ag (0.750, 0.750, 0.750)



Below is a geometry-optimized ScZnFeAg structure, with properties calculated at the PBE level.

Values from the calculation:
Calculated density, g cm⁻³: 7.00
Size of the total moment, Bohr magnetons per cell: 1.83
E above lowest polymorph, kJ/mol of atoms: 0.3
V, Å³ per cell: 65.0
Final energy, eV/f.u.: -18.6

a b c (Å): 4.514 4.514 4.514
angles (deg): 60.00 60.00 60.00
Fractional positions:
Sc (0.000, 0.000, 0.000)
Zn (0.500, 0.500, 0.500)
Fe (0.750, 0.750, 0.750)
Ag (0.250, 0.250, 0.250)



Below is a geometry-optimized ScZnFeAg structure, with properties calculated at the PBE level.

Values from the calculation:
Calculated density, g cm⁻³: 6.83
Size of the total moment, Bohr magnetons per cell: 2.47
E above lowest polymorph, kJ/mol of atoms: 0.0
V, Å³ per cell: 66.6
Final energy, eV/f.u.: -18.6

a b c (Å): 4.550 4.550 4.550
angles (deg): 60.00 60.00 60.00
Fractional positions:
Sc (0.000, 0.000, 0.000)
Zn (0.250, 0.250, 0.250)
Fe (0.500, 0.500, 0.500)
Ag (0.750, 0.750, 0.750)



Q: Which value of E above lowest polymorph does entry 5 give?
A: 0.3 kJ/mol of atoms



Q: final energy of number 3 (ScTlFeAg)?
A: -19.3 eV/f.u.